(1)
First-principles (PBE) data for a relaxed MgHg4Se crystal, as listed in Alexandria via LeMat-Bulk.

Unit cell a=6.0271 b=6.0271 c=6.0271 alpha=60.00 beta=60.00 gamma=60.00
With the nearest neighbours (Å) after each atom.
Sites, in units of the cell vectors:
Mg 0.0000 0.0000 0.0000  12 Hg 3.53, 4 Se 3.69
Hg 0.3752 0.3752 0.3752  6 Hg 3.01-3.02
Hg 0.3752 0.3752 0.8744  6 Hg 3.01-3.02
Hg 0.3752 0.8744 0.3752  6 Hg 3.01-3.02
Hg 0.8744 0.3752 0.3752  6 Hg 3.01-3.02
Se 0.7500 0.7500 0.7500  12 Hg 3.53, 4 Mg 3.69

Results
* symmetry: No. 216
* raw formation energy: 103.3 kJ/mol of formula units
* volume: 25.8 Å³ per atom

=====

(2)
First-principles (PBE) data for a relaxed MgHg3Se4 crystal, as listed in Alexandria via LeMat-Bulk.

Unit cell a=7.5879 b=7.5879 c=7.5879 alpha=131.86 beta=131.86 gamma=70.45
With the nearest neighbours (Å) after each atom.
Sites, in units of the cell vectors:
Mg 0.0000 0.0000 0.0000  4 Se 2.60
Hg 0.2500 0.7500 0.5000  4 Se 2.71
Hg 0.5000 0.5000 0.0000  4 Se 2.71
Hg 0.7500 0.2500 0.5000  4 Se 2.71
Se 0.1210 0.6357 0.0000  1 Mg 2.60, 3 Hg 2.71
Se 0.3643 0.3643 0.4853  1 Mg 2.60, 3 Hg 2.71
Se 0.6357 0.1210 0.0000  1 Mg 2.60, 3 Hg 2.71
Se 0.8790 0.8790 0.5147  1 Mg 2.60, 3 Hg 2.71

Results
* symmetry: No. 121
* raw formation energy: -355.3 kJ/mol of formula units
* volume: 29.7 Å³ per atom

=====

(3)
First-principles (PBE) data for a relaxed MgHg2Se crystal, as listed in Alexandria via LeMat-Bulk.

Unit cell a=4.1517 b=4.1517 c=5.6995 alpha=90.00 beta=90.00 gamma=97.43
With the nearest neighbours (Å) after each atom.
Sites, in units of the cell vectors:
Mg 0.0000 0.0000 0.0000  2 Se 2.85, 4 Hg 3.09
Hg 0.5000 0.5000 0.2506  2 Hg 2.84-2.86, 2 Se 3.09, 2 Mg 3.09
Hg 0.5000 0.5000 0.7494  2 Hg 2.84-2.86, 2 Se 3.09, 2 Mg 3.09
Se 0.0000 0.0000 0.5000  2 Mg 2.85, 4 Hg 3.09

Results
* symmetry: No. 65
* raw formation energy: -35.7 kJ/mol of formula units
* volume: 24.4 Å³ per atom

=====

(4)
First-principles (PBE) data for a relaxed MgHgSe2 crystal, as listed in Alexandria via LeMat-Bulk.

Unit cell a=8.9980 b=4.1555 c=13.3471 alpha=90.00 beta=118.57 gamma=90.00
With the nearest neighbours (Å) after each atom.
Sites, in units of the cell vectors:
Mg 0.1579 0.2300 0.2851  4 Se 2.57-2.67
Mg 0.1579 0.2700 0.7851  4 Se 2.57-2.67
Mg 0.8421 0.7300 0.2149  4 Se 2.57-2.67
Mg 0.8421 0.7700 0.7149  4 Se 2.57-2.67
Hg 0.4034 0.5599 0.1638  3 Se 2.89-3.00, 2 Hg 2.97
Hg 0.4034 0.9401 0.6638  3 Se 2.89-3.00, 2 Hg 2.97
Hg 0.5966 0.0599 0.3362  3 Se 2.89-3.00, 2 Hg 2.97
Hg 0.5966 0.4401 0.8362  3 Se 2.89-3.00, 2 Hg 2.97
Se 0.0876 0.7319 0.1567  3 Mg 2.57-2.67
Se 0.0876 0.7681 0.6567  3 Mg 2.57-2.67
Se 0.3683 0.0740 0.9961  1 Se 2.40, 1 Mg 2.66
Se 0.3683 0.4260 0.4961  1 Se 2.40, 1 Mg 2.66
Se 0.6317 0.5740 0.5039  1 Se 2.40, 1 Mg 2.66
Se 0.6317 0.9260 0.0039  1 Se 2.40, 1 Mg 2.66
Se 0.9124 0.2319 0.3433  3 Mg 2.57-2.67
Se 0.9124 0.2681 0.8433  3 Mg 2.57-2.67

Results
* symmetry: No. 14
* raw formation energy: -188.3 kJ/mol of formula units
* energy above the lowest structure with this stoichiometry: 234.6 meV per atom
* volume: 27.4 Å³ per atom

=====

(5)
First-principles (PBE) data for a relaxed MgHgSe2 crystal, as listed in Alexandria via LeMat-Bulk.

Unit cell a=3.7716 b=3.8393 c=7.9438 alpha=90.00 beta=90.00 gamma=90.00
With the nearest neighbours (Å) after each atom.
Sites, in units of the cell vectors:
Mg 0.0000 0.0000 0.0000  4 Se 2.69
Hg 0.0000 0.5000 0.5000  4 Se 2.69
Se 0.5000 0.0000 0.5000  4 Hg 2.69
Se 0.5000 0.5000 0.0000  4 Mg 2.69

Results
* symmetry: No. 47
* raw formation energy: -152.7 kJ/mol of formula units
* energy above the lowest structure with this stoichiometry: 326.6 meV per atom
* volume: 28.8 Å³ per atom

=====

(6)
First-principles (PBE) data for a relaxed MgHgSe2 crystal, as listed in Alexandria via LeMat-Bulk.

Unit cell a=4.8890 b=4.8890 c=3.6490 alpha=90.00 beta=90.00 gamma=90.00
With the nearest neighbours (Å) after each atom.
Sites, in units of the cell vectors:
Mg 0.0000 0.0000 0.0000  8 Se 3.05
Hg 0.5000 0.5000 0.0000  8 Se 3.05
Se 0.0000 0.5000 0.5000  4 Hg 3.05, 4 Mg 3.05
Se 0.5000 0.0000 0.5000  4 Hg 3.05, 4 Mg 3.05

Results
* symmetry: No. 123
* raw formation energy: -67.3 kJ/mol of formula units
* energy above the lowest structure with this stoichiometry: 547.9 meV per atom
* volume: 21.8 Å³ per atom